1.
First-principles (GGA-PBE) data for a relaxed structure of Y2Sc2Tc, as listed in Alexandria via LeMat-Bulk.

Lattice parameters (Å, degrees): 6.7500 6.7500 5.5395 90.00 90.00 90.00
Space group P4/mbm (No. 127)
One atom of each set of equivalent atoms:
Y: 0.1779 0.3221 0.0000 (multiplicity 4)
Sc: 0.1591 0.6591 0.5000 (multiplicity 4)
Tc: 0.0000 0.0000 0.5000 (multiplicity 2)

Calculated values
calculated density = 4.812 g cm⁻³
size of the total moment = 0.00 Bohr magnetons per cell
energy relative to the lowest polymorph listed for this composition = 173.2 meV/atom
V = 25.24 Å³/atom
formation enthalpy at 0 K = 0.1194 eV per atom



2.
First-principles (GGA-PBE) data for a relaxed structure of YSc2Tc, as listed in Alexandria via LeMat-Bulk.

Lattice parameters (Å, degrees): 7.4576 8.4661 5.8797 90.00 90.00 90.00
Space group Pnma (No. 62)
One atom of each set of equivalent atoms:
Y: 0.0363 0.2500 0.1175 (multiplicity 4)
Sc: 0.1723 0.0631 0.6372 (multiplicity 8)
Tc: 0.1173 0.7500 0.4216 (multiplicity 4)

Calculated values
calculated density = 4.953 g cm⁻³
size of the total moment = 0.00 Bohr magnetons per cell
energy relative to the lowest polymorph listed for this composition = 0.0 meV/atom
V = 23.20 Å³/atom
formation enthalpy at 0 K = -0.1563 eV per atom



3.
First-principles (GGA-PBE) data for a relaxed structure of YSc2Tc9, as listed in Alexandria via LeMat-Bulk.

Lattice parameters (Å, degrees): 5.2704 5.2704 25.8757 90.00 90.00 120.00
Space group R-3m (No. 166, hexagonal axes)
One atom of each set of equivalent atoms:
Y: 0.0000 0.0000 0.0000 (multiplicity 3)
Sc: 0.0000 0.0000 0.1441 (multiplicity 6)
Tc: 0.0000 0.0000 0.3374 (multiplicity 6)
Tc: 0.0000 0.0000 0.5000 (multiplicity 3)
Tc: 0.0110 0.5055 0.9145 (multiplicity 18)

Calculated values
calculated density = 8.490 g cm⁻³
size of the total moment = 0.00 Bohr magnetons per cell
V = 17.29 Å³/atom
formation enthalpy at 0 K = -0.1163 eV per atom



4.
First-principles (GGA-PBE) data for a relaxed structure of YSc2Tc, as listed in Alexandria via LeMat-Bulk.

Lattice parameters (Å, degrees): 3.3108 3.3108 8.3668 90.00 90.00 90.00
Space group P4/mmm (No. 123)
One atom of each set of equivalent atoms:
Y: 0.0000 0.0000 0.0000 (multiplicity 1)
Sc: 0.5000 0.5000 0.3192 (multiplicity 2)
Tc: 0.0000 0.0000 0.5000 (multiplicity 1)

Calculated values
calculated density = 5.012 g cm⁻³
size of the total moment = 0.00 Bohr magnetons per cell
energy relative to the lowest polymorph listed for this composition = 58.3 meV/atom
V = 22.93 Å³/atom
formation enthalpy at 0 K = -0.0981 eV per atom



5.
First-principles (GGA-PBE) data for a relaxed structure of YScTc, as listed in Alexandria via LeMat-Bulk.

Lattice parameters (Å, degrees): 4.6218 4.6218 3.4880 90.00 90.00 120.00
Space group P3m1 (No. 156)
One atom of each set of equivalent atoms:
Y: 0.0000 0.0000 0.0000 (multiplicity 1)
Sc: 0.3333 0.6667 0.4635 (multiplicity 1)
Tc: 0.6667 0.3333 0.5944 (multiplicity 1)

Calculated values
calculated density = 5.967 g cm⁻³
size of the total moment = 0.00 Bohr magnetons per cell
energy relative to the lowest polymorph listed for this composition = 143.0 meV/atom
V = 21.51 Å³/atom
formation enthalpy at 0 K = 0.0552 eV per atom



6.
First-principles (GGA-PBE) data for a relaxed structure of YSc2Tc, as listed in Alexandria via LeMat-Bulk.

Lattice parameters (Å, degrees): 4.2531 4.2531 4.8016 90.00 90.00 90.00
Space group P4/mmm (No. 123)
One atom of each set of equivalent atoms:
Y: 0.0000 0.0000 0.0000 (multiplicity 1)
Sc: 0.0000 0.5000 0.5000 (multiplicity 2)
Tc: 0.5000 0.5000 0.0000 (multiplicity 1)

Calculated values
calculated density = 5.292 g cm⁻³
size of the total moment = 0.00 Bohr magnetons per cell
energy relative to the lowest polymorph listed for this composition = 278.6 meV/atom
V = 21.71 Å³/atom
formation enthalpy at 0 K = 0.1222 eV per atom